1.
Ca3In9Cu2: optimized geometry, PBE.

Unit cell a=8.903 b=8.903 c=8.903 alpha=148.71 beta=105.34 gamma=83.16
Fractional coordinates of all 14 atoms:
Ca (0.000, 0.000, 0.000)
Ca (0.298, 0.298, 0.000)
Ca (0.702, 0.702, 0.000)
In (0.000, 0.363, 0.637)
In (0.000, 0.637, 0.363)
In (0.146, 0.858, 0.288)
In (0.273, 0.637, 0.637)
In (0.430, 0.142, 0.288)
In (0.500, 0.000, 0.500)
In (0.570, 0.858, 0.712)
In (0.727, 0.363, 0.363)
In (0.854, 0.142, 0.712)
Cu (0.338, 0.500, 0.838)
Cu (0.662, 0.500, 0.162)

***

2.
CaIn2Cu: optimized geometry, PBE.

Unit cell a=5.914 b=5.914 c=5.914 alpha=144.73 beta=125.45 gamma=66.64
Fractional coordinates of all 4 atoms:
Ca (0.000, 0.000, 0.000)
In (0.288, 0.788, 0.500)
In (0.712, 0.212, 0.500)
Cu (0.500, 0.500, 0.000)

***

3.
CaInCu2: optimized geometry, PBE.

Unit cell a=3.386 b=3.550 c=6.625 alpha=90.00 beta=90.59 gamma=90.00
Fractional coordinates of all 4 atoms:
Ca (0.000, 0.000, 0.000)
In (0.000, 0.000, 0.500)
Cu (0.500, 0.500, 0.288)
Cu (0.500, 0.500, 0.712)

***

| no. | energy of formation (eV per atom) |
| --- | --- |
| 1 | -0.23 |
| 2 | -0.14 |
| 3 | -0.03 |